[1]
# PBE CdInSn, optimized geometry
# ΔE to the lowest computed polymorph in meV/atom: 0.0
data_CdInSn
_cell_length_a 5.1462
_cell_length_b 5.1462
_cell_length_c 10.4678
_cell_angle_alpha 90.00
_cell_angle_beta 90.00
_cell_angle_gamma 120.00
_symmetry_space_group_name_H-M 'P -6 m 2'
_symmetry_Int_Tables_number 187
_symmetry_space_group_name_Hall 'P -6 2'
loop_
_atom_site_label
_atom_site_type_symbol
_atom_site_fract_x
_atom_site_fract_y
_atom_site_fract_z
_atom_site_occupancy
Cd1 Cd 0.0000 0.0000 0.0000 1
Cd2 Cd 0.6667 0.3333 0.3031 1
In1 In 0.3333 0.6667 0.1668 1
In2 In 0.3333 0.6667 0.5000 1
Sn1 Sn 0.0000 0.0000 0.3540 1
Sn2 Sn 0.6667 0.3333 0.0000 1

[2]
# PBE RbLiZrS3, optimized geometry
# ΔE to the lowest computed polymorph in meV/atom: 1.1
data_RbLiZrS3
_cell_length_a 8.7258
_cell_length_b 3.8567
_cell_length_c 9.3460
_cell_angle_alpha 90.00
_cell_angle_beta 110.73
_cell_angle_gamma 90.00
_symmetry_space_group_name_H-M 'P 1 21/m 1'
_symmetry_Int_Tables_number 11
_symmetry_space_group_name_Hall '-P 2yb'
loop_
_atom_site_label
_atom_site_type_symbol
_atom_site_fract_x
_atom_site_fract_y
_atom_site_fract_z
_atom_site_occupancy
Rb1 Rb 0.2243 0.2500 0.2613 1
Li1 Li 0.0767 0.2500 0.6005 1
Zr1 Zr 0.3203 0.7500 0.8438 1
S1 S 0.1324 0.2500 0.8687 1
S2 S 0.2144 0.7500 0.5591 1
S3 S 0.4698 0.7500 0.1469 1

[3]
# SrCo

A geometry-optimized SrCo structure (PBE, OQMD via LeMat-Bulk).

```
data_SrCo
_cell_length_a 6.1913
_cell_length_b 6.1913
_cell_length_c 6.1913
_cell_angle_alpha 90.00
_cell_angle_beta 90.00
_cell_angle_gamma 90.00
_symmetry_space_group_name_H-M 'F m -3 m'
_symmetry_Int_Tables_number 225
_symmetry_space_group_name_Hall '-F 4 2 3'
loop_
_atom_site_label
_atom_site_type_symbol
_atom_site_fract_x
_atom_site_fract_y
_atom_site_fract_z
_atom_site_occupancy
Sr1 Sr 0.0000 0.0000 0.0000 1
Co1 Co 0.0000 0.0000 0.5000 1
```

Number 1: VASP energy -0.0918 hartree per atom. Number 2: VASP energy -0.2002 hartree per atom. Number 3: VASP energy -0.1282 hartree per atom.